1.
A relaxed CsTeAuI2 crystal, computed with PBE.

Cell: 6.5099 6.5099 5.2472 Å, 90.00 90.00 90.00°
Atoms (fractional coordinates):
Cs  0.0000  0.0000  0.0000
Te  0.5000  0.5000  0.5000
Au  0.5000  0.5000  0.0000
I  0.0000  0.5000  0.5000
I  0.5000  0.0000  0.5000

polymorph energy (0 for the lowest one)	0.000	eV/atom
volume	222.37	Å³/cell
formation energy (no corrections)	-2.5	eV/f.u.

---

2.
A relaxed CsTe2AuI crystal, computed with PBE.

Cell: 5.5893 5.5893 6.0390 Å, 90.00 90.00 90.00°
Atoms (fractional coordinates):
Cs  0.0000  0.0000  0.0000
Te  0.0000  0.5000  0.5000
Te  0.5000  0.0000  0.5000
Au  0.5000  0.5000  0.5000
I  0.5000  0.5000  0.0000

volume	188.66	Å³/cell
formation energy (no corrections)	-1.3	eV/f.u.

---

3.
A relaxed Cs2TeAuI crystal, computed with PBE.

Cell: 7.1412 7.1412 5.1742 Å, 90.00 90.00 90.00°
Atoms (fractional coordinates):
Cs  0.0000  0.5000  0.0000
Cs  0.5000  0.0000  0.0000
Te  0.0000  0.0000  0.5000
Au  0.0000  0.0000  0.0000
I  0.5000  0.5000  0.5000

polymorph energy (0 for the lowest one)	0.000	eV/atom
volume	263.87	Å³/cell
formation energy (no corrections)	-4.1	eV/f.u.

---

4.
A relaxed CsTeAuI2 crystal, computed with PBE.

Cell: 5.9344 5.9344 5.5797 Å, 90.00 90.00 90.00°
Atoms (fractional coordinates):
Cs  0.0000  0.0000  0.0000
Te  0.5000  0.5000  0.0000
Au  0.5000  0.5000  0.5000
I  0.0000  0.5000  0.5000
I  0.5000  0.0000  0.5000

polymorph energy (0 for the lowest one)	0.067	eV/atom
volume	196.50	Å³/cell
formation energy (no corrections)	-2.1	eV/f.u.

---

5.
A relaxed Cs2TiAuI6 crystal, computed with PBE.

Cell: 8.3892 8.3892 8.3892 Å, 116.68 116.68 95.85°
Atoms (fractional coordinates):
Cs  0.2500  0.7500  0.5000
Cs  0.7500  0.2500  0.5000
Ti  0.0000  0.0000  0.0000
Au  0.5000  0.5000  0.0000
I  0.2243  0.2243  0.4487
I  0.2243  0.7757  0.0000
I  0.2638  0.2638  0.0000
I  0.7362  0.7362  0.0000
I  0.7757  0.2243  0.0000
I  0.7757  0.7757  0.5513

volume	435.96	Å³/cell
formation energy (no corrections)	-8.6	eV/f.u.

---

6.
A relaxed CsTlAuI crystal, computed with PBE.

Cell: 6.0674 6.0674 6.0674 Å, 60.00 60.00 60.00°
Atoms (fractional coordinates):
Cs  0.0000  0.0000  0.0000
Tl  0.5000  0.5000  0.5000
Au  0.2500  0.2500  0.2500
I  0.7500  0.7500  0.7500

volume	157.94	Å³/cell
formation energy (no corrections)	-2.0	eV/f.u.

---

7.
A relaxed Cs3TlAu2I9 crystal, computed with PBE.

Cell: 8.4461 8.4461 10.4171 Å, 90.00 90.00 120.00°
Atoms (fractional coordinates):
Cs  0.0000  0.0000  0.0000
Cs  0.3333  0.6667  0.6655
Cs  0.6667  0.3333  0.3345
Tl  0.0000  0.0000  0.5000
Au  0.3333  0.6667  0.1554
Au  0.6667  0.3333  0.8446
I  0.0000  0.5000  0.0000
I  0.1735  0.3470  0.3198
I  0.1735  0.8265  0.3198
I  0.3470  0.1735  0.6802
I  0.5000  0.0000  0.0000
I  0.5000  0.5000  0.0000
I  0.6530  0.8265  0.3198
I  0.8265  0.1735  0.6802
I  0.8265  0.6530  0.6802

volume	643.57	Å³/cell
formation energy (no corrections)	-10.8	eV/f.u.

---

8.
A relaxed Cs2TlAu2I7 crystal, computed with PBE.

Cell: 15.5472 15.5472 15.5472 Å, 158.38 158.38 30.77°
Atoms (fractional coordinates):
Cs  0.1769  0.1769  0.0000
Cs  0.8231  0.8231  0.0000
Tl  0.0000  0.0000  0.0000
Au  0.4047  0.4047  0.0000
Au  0.5953  0.5953  0.0000
I  0.0869  0.5869  0.5000
I  0.3084  0.3084  0.0000
I  0.4131  0.9131  0.5000
I  0.5000  0.5000  0.0000
I  0.5869  0.0869  0.5000
I  0.6916  0.6916  0.0000
I  0.9131  0.4131  0.5000

volume	509.99	Å³/cell
formation energy (no corrections)	-7.6	eV/f.u.

---

9.
A relaxed CsUAuI6 crystal, computed with PBE.

Cell: 8.9378 8.9378 8.0106 Å, 93.23 93.23 129.16°
Atoms (fractional coordinates):
Cs  0.0000  0.0000  0.0000
U  0.6742  0.3258  0.5000
Au  0.3116  0.6884  0.5000
I  0.0084  0.3836  0.3141
I  0.3403  0.2527  0.6485
I  0.4365  0.0448  0.1925
I  0.6164  0.9916  0.6859
I  0.7473  0.6597  0.3515
I  0.9552  0.5635  0.8075

volume	491.88	Å³/cell
formation energy (no corrections)	-7.2	eV/f.u.

---

10.
A relaxed CsUAu2I8 crystal, computed with PBE.

Cell: 7.6166 7.6166 10.9542 Å, 97.21 97.21 69.80°
Atoms (fractional coordinates):
Cs  0.0000  0.0000  0.0000
U  0.0000  0.0000  0.5000
Au  0.2519  0.2519  0.7255
Au  0.7481  0.7481  0.2745
I  0.2213  0.7412  0.3113
I  0.2386  0.2386  0.4848
I  0.2588  0.7787  0.6887
I  0.3103  0.3103  0.9621
I  0.6897  0.6897  0.0379
I  0.7412  0.2213  0.3113
I  0.7614  0.7614  0.5152
I  0.7787  0.2588  0.6887

volume	589.38	Å³/cell
formation energy (no corrections)	-7.7	eV/f.u.

---

11.
A relaxed Cs2VAuI6 crystal, computed with PBE.

Cell: 8.2661 8.2661 8.2661 Å, 120.10 120.10 89.83°
Atoms (fractional coordinates):
Cs  0.2500  0.7500  0.5000
Cs  0.7500  0.2500  0.5000
V  0.0000  0.0000  0.0000
Au  0.5000  0.5000  0.0000
I  0.2403  0.2403  0.0000
I  0.2415  0.2415  0.4830
I  0.2415  0.7585  0.0000
I  0.7585  0.2415  0.0000
I  0.7585  0.7585  0.5170
I  0.7597  0.7597  0.0000

volume	398.78	Å³/cell
formation energy (no corrections)	-7.2	eV/f.u.

---

12.
A relaxed CsZnAuI2 crystal, computed with PBE.

Cell: 5.9139 5.9139 5.1412 Å, 90.00 90.00 90.00°
Atoms (fractional coordinates):
Cs  0.0000  0.0000  0.0000
Zn  0.5000  0.5000  0.5000
Au  0.5000  0.5000  0.0000
I  0.0000  0.5000  0.5000
I  0.5000  0.0000  0.5000

volume	179.81	Å³/cell
formation energy (no corrections)	-2.7	eV/f.u.

---

13.
A relaxed Cs2ZnAuI6 crystal, computed with PBE.

Cell: 8.5315 8.5315 8.5315 Å, 120.24 120.24 89.58°
Atoms (fractional coordinates):
Cs  0.2500  0.7500  0.5000
Cs  0.7500  0.2500  0.5000
Zn  0.0000  0.0000  0.0000
Au  0.5000  0.5000  0.0000
I  0.2100  0.2100  0.0000
I  0.2686  0.2686  0.5372
I  0.2686  0.7314  0.0000
I  0.7314  0.2686  0.0000
I  0.7314  0.7314  0.4628
I  0.7900  0.7900  0.0000

volume	437.48	Å³/cell
formation energy (no corrections)	-7.6	eV/f.u.

---

14.
A relaxed Cs2ZrAuI6 crystal, computed with PBE.

Cell: 8.5408 8.5408 8.5408 Å, 117.11 117.11 95.07°
Atoms (fractional coordinates):
Cs  0.2500  0.7500  0.5000
Cs  0.7500  0.2500  0.5000
Zr  0.0000  0.0000  0.0000
Au  0.5000  0.5000  0.0000
I  0.2298  0.2298  0.4597
I  0.2298  0.7702  0.0000
I  0.2567  0.2567  0.0000
I  0.7433  0.7433  0.0000
I  0.7702  0.2298  0.0000
I  0.7702  0.7702  0.5403

volume	457.80	Å³/cell
formation energy (no corrections)	-9.1	eV/f.u.

---

15.
A relaxed Cs12In3Au5 crystal, computed with PBE.

Cell: 19.1809 19.1809 19.1809 Å, 109.47 109.47 109.47°
Atoms (fractional coordinates):
Cs  0.0427  0.2166  0.1303
Cs  0.0427  0.3260  0.9123
Cs  0.0863  0.7166  0.6740
Cs  0.0863  0.8697  0.4123
Cs  0.0877  0.6303  0.4137
Cs  0.0877  0.9573  0.6740
Cs  0.1303  0.0427  0.2166
Cs  0.1303  0.5877  0.9137
Cs  0.1740  0.2166  0.5863
Cs  0.1740  0.4573  0.5877
Cs  0.2166  0.1303  0.0427
Cs  0.2166  0.5863  0.1740
Cs  0.2834  0.3260  0.9137
Cs  0.2834  0.4573  0.3697
Cs  0.3260  0.9123  0.0427
Cs  0.3260  0.9137  0.2834
Cs  0.3697  0.2834  0.4573
Cs  0.3697  0.5863  0.9123
Cs  0.4123  0.0863  0.8697
Cs  0.4123  0.8260  0.5427
Cs  0.4137  0.0877  0.6303
Cs  0.4137  0.8260  0.7834
Cs  0.4573  0.3697  0.2834
Cs  0.4573  0.5877  0.1740
Cs  0.5427  0.4123  0.8260
Cs  0.5427  0.6303  0.7166
Cs  0.5863  0.1740  0.2166
Cs  0.5863  0.9123  0.3697
Cs  0.5877  0.1740  0.4573
Cs  0.5877  0.9137  0.1303
Cs  0.6303  0.4137  0.0877
Cs  0.6303  0.7166  0.5427
Cs  0.6740  0.0863  0.7166
Cs  0.6740  0.0877  0.9573
Cs  0.7166  0.5427  0.6303
Cs  0.7166  0.6740  0.0863
Cs  0.7834  0.4137  0.8260
Cs  0.7834  0.8697  0.9573
Cs  0.8260  0.5427  0.4123
Cs  0.8260  0.7834  0.4137
Cs  0.8697  0.4123  0.0863
Cs  0.8697  0.9573  0.7834
Cs  0.9123  0.0427  0.3260
Cs  0.9123  0.3697  0.5863
Cs  0.9137  0.1303  0.5877
Cs  0.9137  0.2834  0.3260
Cs  0.9573  0.6740  0.0877
Cs  0.9573  0.7834  0.8697
In  0.1250  0.2500  0.3750
In  0.1250  0.3750  0.7500
In  0.2500  0.3750  0.1250
In  0.2500  0.8750  0.6250
In  0.3750  0.1250  0.2500
In  0.3750  0.7500  0.1250
In  0.6250  0.2500  0.8750
In  0.6250  0.8750  0.7500
In  0.7500  0.1250  0.3750
In  0.7500  0.6250  0.8750
In  0.8750  0.6250  0.2500
In  0.8750  0.7500  0.6250
Au  0.0000  0.0000  0.0000
Au  0.0000  0.0000  0.5000
Au  0.0000  0.5000  0.0000
Au  0.0000  0.5000  0.5000
Au  0.1250  0.7500  0.8750
Au  0.1250  0.8750  0.2500
Au  0.2500  0.1250  0.8750
Au  0.2500  0.6250  0.3750
Au  0.3750  0.2500  0.6250
Au  0.3750  0.6250  0.7500
Au  0.5000  0.0000  0.0000
Au  0.5000  0.0000  0.5000
Au  0.5000  0.5000  0.0000
Au  0.5000  0.5000  0.5000
Au  0.6250  0.3750  0.2500
Au  0.6250  0.7500  0.3750
Au  0.7500  0.3750  0.6250
Au  0.7500  0.8750  0.1250
Au  0.8750  0.1250  0.7500
Au  0.8750  0.2500  0.1250

formation energy	-0.06	eV per atom
volume	5432.34	Å³/cell

---

16.
A relaxed Cs2In4Au3 crystal, computed with PBE.

Cell: 10.1366 10.1366 8.9672 Å, 90.00 90.00 144.06°
Atoms (fractional coordinates):
Cs  0.0952  0.9048  0.8707
Cs  0.4048  0.5952  0.3707
Cs  0.5952  0.4048  0.6293
Cs  0.9048  0.0952  0.1293
In  0.1689  0.3311  0.7500
In  0.2071  0.7929  0.5108
In  0.2929  0.7071  0.0108
In  0.3311  0.1689  0.2500
In  0.6689  0.8311  0.7500
In  0.7071  0.2929  0.9892
In  0.7929  0.2071  0.4892
In  0.8311  0.6689  0.2500
Au  0.0000  0.0000  0.5000
Au  0.0193  0.4807  0.7500
Au  0.4807  0.0193  0.2500
Au  0.5000  0.5000  0.0000
Au  0.5193  0.9807  0.7500
Au  0.9807  0.5193  0.2500

formation energy	-0.17	eV per atom
volume	540.75	Å³/cell

---

17.
A relaxed Cs2In6Au3 crystal, computed with PBE.

Cell: 8.8836 8.8836 4.8939 Å, 90.00 90.00 120.00°
Atoms (fractional coordinates):
Cs  0.3333  0.6667  0.0000
Cs  0.6667  0.3333  0.0000
In  0.0000  0.1972  0.0000
In  0.0000  0.6960  0.5000
In  0.1972  0.0000  0.0000
In  0.3040  0.3040  0.5000
In  0.6960  0.0000  0.5000
In  0.8028  0.8028  0.0000
Au  0.0000  0.3637  0.5000
Au  0.3637  0.0000  0.5000
Au  0.6363  0.6363  0.5000

formation energy	-0.18	eV per atom
volume	334.47	Å³/cell

---

18.
A relaxed Cs3InAu crystal, computed with PBE.

Cell: 6.8773 6.8773 6.8773 Å, 90.00 90.00 90.00°
Atoms (fractional coordinates):
Cs  0.0000  0.0000  0.5000
Cs  0.0000  0.5000  0.0000
Cs  0.5000  0.0000  0.0000
In  0.5000  0.5000  0.5000
Au  0.0000  0.0000  0.0000

polymorph energy (0 for the lowest one)	0.000	eV/atom
formation energy	0.01	eV per atom
volume	325.28	Å³/cell

---

19.
A relaxed CsIn12Au4 crystal, computed with PBE.

Cell: 8.5999 8.5999 8.5999 Å, 109.47 109.47 109.47°
Atoms (fractional coordinates):
Cs  0.0000  0.0000  0.0000
In  0.1593  0.3488  0.5082
In  0.1593  0.6512  0.8105
In  0.1895  0.8407  0.3488
In  0.3488  0.1895  0.8407
In  0.3488  0.5082  0.1593
In  0.4918  0.8407  0.6512
In  0.5082  0.1593  0.3488
In  0.6512  0.4918  0.8407
In  0.6512  0.8105  0.1593
In  0.8105  0.1593  0.6512
In  0.8407  0.3488  0.1895
In  0.8407  0.6512  0.4918
Au  0.0000  0.0000  0.5000
Au  0.0000  0.5000  0.0000
Au  0.5000  0.0000  0.0000
Au  0.5000  0.5000  0.5000

formation energy	-0.08	eV per atom
volume	489.62	Å³/cell

---

20.
A relaxed CsInAu crystal, computed with PBE.

Cell: 7.7068 7.7068 6.9166 Å, 90.00 90.00 149.06°
Atoms (fractional coordinates):
Cs  0.1867  0.8133  0.7500
Cs  0.8133  0.1867  0.2500
In  0.0726  0.9274  0.2500
In  0.9274  0.0726  0.7500
Au  0.5000  0.5000  0.0000
Au  0.5000  0.5000  0.5000

polymorph energy (0 for the lowest one)	0.056	eV/atom
formation energy	-0.21	eV per atom
volume	211.19	Å³/cell